First-principles (PBEsol) data for an optimized crystal structure of Ta2CS2, as listed in the Alexandria database.

a b c (Å): 3.247 3.247 8.681
angles (deg): 90.00 90.00 120.00
Positions (direct):
Ta 0.333 0.667 0.136
Ta 0.667 0.333 0.864
C 0.000 0.000 0.000
S 0.333 0.667 0.677
S 0.667 0.333 0.323

Properties
- Space-group type: No. 164
- Formation energy from raw total energies: -1.003 eV per atom

First-principles (PBEsol) data for an optimized crystal structure of LiAlP, as listed in the Alexandria database.

a b c (Å): 4.105 4.105 4.105
angles (deg): 60.00 60.00 60.00
Positions (direct):
Li 0.000 0.000 0.000
Al 0.500 0.500 0.500
P 0.250 0.250 0.250

Properties
- E_form: -0.240 eV per atom
- Space-group type: No. 216

First-principles (PBEsol) data for an optimized crystal structure of CoSbSN2, as listed in the Alexandria database.

a b c (Å): 3.719 3.719 4.588
angles (deg): 90.00 90.00 90.00
Positions (direct):
Co 0.000 0.000 0.000
Sb 0.500 0.500 0.500
S 0.000 0.000 0.500
N 0.000 0.500 0.000
N 0.500 0.000 0.000

Properties
- Space-group type: No. 123
- Formation energy from raw total energies: 0.810 eV per atom

First-principles (PBEsol) data for an optimized crystal structure of Pm3Pr, as listed in the Alexandria database.

a b c (Å): 7.193 7.193 5.839
angles (deg): 90.00 90.00 120.00
Positions (direct):
Pm 0.166 0.333 0.250
Pm 0.166 0.834 0.250
Pm 0.333 0.166 0.750
Pm 0.667 0.834 0.250
Pm 0.834 0.166 0.750
Pm 0.834 0.667 0.750
Pr 0.333 0.667 0.750
Pr 0.667 0.333 0.250

Properties
- E_form: 0.031 eV per atom
- Space-group type: No. 194

First-principles (PBEsol) data for an optimized crystal structure of LaScIr2, as listed in the Alexandria database.

a b c (Å): 5.549 5.549 5.549
angles (deg): 137.76 137.76 61.26
Positions (direct):
La 0.000 0.000 0.000
Sc 0.750 0.250 0.500
Ir 0.250 0.750 0.500
Ir 0.500 0.500 0.000

Properties
- E_form: -0.394 eV per atom
- Space-group type: No. 119

First-principles (PBEsol) data for an optimized crystal structure of Mg2ZrTl, as listed in the Alexandria database.

a b c (Å): 4.350 4.350 4.469
angles (deg): 90.00 90.00 90.00
Positions (direct):
Mg 0.000 0.500 0.000
Mg 0.500 0.000 0.000
Zr 0.000 0.000 0.500
Tl 0.500 0.500 0.500

Properties
- E_form: -0.150 eV per atom
- Space-group type: No. 123

First-principles (PBEsol) data for an optimized crystal structure of Rb3NbBr, as listed in the Alexandria database.

a b c (Å): 6.762 6.762 6.762
angles (deg): 90.00 90.00 90.00
Positions (direct):
Rb 0.000 0.000 0.500
Rb 0.000 0.500 0.000
Rb 0.500 0.000 0.000
Nb 0.000 0.000 0.000
Br 0.500 0.500 0.500

Properties
- Space-group type: No. 221
- Formation energy from raw total energies: 0.677 eV per atom

First-principles (PBEsol) data for an optimized crystal structure of GaGe3F, as listed in the Alexandria database.

a b c (Å): 4.837 4.837 4.837
angles (deg): 90.00 90.00 90.00
Positions (direct):
Ga 0.000 0.000 0.000
Ge 0.000 0.000 0.500
Ge 0.000 0.500 0.000
Ge 0.500 0.000 0.000
F 0.500 0.500 0.500

Properties
- Space-group type: No. 221
- Formation energy from raw total energies: 0.428 eV per atom

First-principles (PBEsol) data for an optimized crystal structure of Li9Mn2Co5O16, as listed in the Alexandria database.

a b c (Å): 5.618 5.618 9.806
angles (deg): 106.46 106.46 60.15
Positions (direct):
Li 0.000 0.000 0.000
Li 0.238 0.752 0.751
Li 0.245 0.245 0.252
Li 0.248 0.762 0.249
Li 0.250 0.250 0.750
Li 0.750 0.750 0.250
Li 0.752 0.238 0.751
Li 0.755 0.755 0.748
Li 0.762 0.248 0.249
Mn 0.000 0.500 0.000
Mn 0.500 0.000 0.000
Co 0.000 0.000 0.500
Co 0.000 0.500 0.500
Co 0.500 0.000 0.500
Co 0.500 0.500 0.000
Co 0.500 0.500 0.500
O 0.131 0.131 0.392
O 0.132 0.631 0.393
O 0.134 0.612 0.886
O 0.136 0.136 0.886
O 0.369 0.369 0.607
O 0.369 0.868 0.607
O 0.371 0.371 0.111
O 0.388 0.866 0.114
O 0.612 0.134 0.886
O 0.629 0.629 0.889
O 0.631 0.132 0.393
O 0.631 0.631 0.393
O 0.864 0.864 0.114
O 0.866 0.388 0.114
O 0.868 0.369 0.607
O 0.869 0.869 0.608

Properties
- Space-group type: No. 12
- Formation energy from raw total energies: -1.679 eV per atom

First-principles (PBEsol) data for an optimized crystal structure of Rb2In2Au, as listed in the Alexandria database.

a b c (Å): 10.913 10.913 10.913
angles (deg): 158.02 158.02 31.29
Positions (direct):
Rb 0.092 0.092 0.000
Rb 0.908 0.908 0.000
In 0.250 0.750 0.500
In 0.750 0.250 0.500
Au 0.500 0.500 0.000

Properties
- E_form: -0.038 eV per atom
- Space-group type: No. 139

First-principles (PBEsol) data for an optimized crystal structure of Hf2GaPb, as listed in the Alexandria database.

a b c (Å): 4.868 4.868 4.868
angles (deg): 60.00 60.00 60.00
Positions (direct):
Hf 0.250 0.250 0.250
Hf 0.750 0.750 0.750
Ga 0.000 0.000 0.000
Pb 0.500 0.500 0.500

Properties
- E_form: 0.020 eV per atom
- Space-group type: No. 225

First-principles (PBEsol) data for an optimized crystal structure of KPW2, as listed in the Alexandria database.

a b c (Å): 4.546 4.546 4.546
angles (deg): 60.00 60.00 60.00
Positions (direct):
K 0.000 0.000 0.000
P 0.250 0.250 0.250
W 0.500 0.500 0.500
W 0.750 0.750 0.750

Properties
- E_form: 1.273 eV per atom
- Space-group type: No. 216

First-principles (PBEsol) data for an optimized crystal structure of KInPb2, as listed in the Alexandria database.

a b c (Å): 4.037 4.037 7.947
angles (deg): 90.00 90.00 90.00
Positions (direct):
K 0.000 0.000 0.000
In 0.500 0.500 0.707
Pb 0.000 0.000 0.508
Pb 0.500 0.500 0.306

Properties
- E_form: -0.073 eV per atom
- Space-group type: No. 99

First-principles (PBEsol) data for an optimized crystal structure of LiV2OF7, as listed in the Alexandria database.

a b c (Å): 5.534 5.534 5.534
angles (deg): 115.39 108.87 104.35
Positions (direct):
Li 0.000 0.000 0.000
V 0.467 0.220 0.754
V 0.467 0.713 0.246
O 0.309 0.309 0.000
F 0.205 0.212 0.453
F 0.205 0.752 0.994
F 0.285 0.785 0.500
F 0.658 0.158 0.500
F 0.661 0.661 0.000
F 0.759 0.212 0.006
F 0.759 0.752 0.547

Properties
- Space-group type: No. 44
- Formation energy from raw total energies: -2.754 eV per atom

First-principles (PBEsol) data for an optimized crystal structure of InW, as listed in the Alexandria database.

a b c (Å): 10.071 10.071 10.071
angles (deg): 16.82 16.82 16.82
Positions (direct):
In 0.118 0.118 0.118
In 0.882 0.882 0.882
W 0.370 0.370 0.370
W 0.630 0.630 0.630

Properties
- E_form: 0.548 eV per atom
- Space-group type: No. 166

First-principles (PBEsol) data for an optimized crystal structure of LaCo2Cu, as listed in the Alexandria database.

a b c (Å): 3.145 3.145 6.314
angles (deg): 90.00 90.00 90.00
Positions (direct):
La 0.000 0.000 0.000
Co 0.500 0.500 0.323
Co 0.500 0.500 0.677
Cu 0.000 0.000 0.500

Properties
- E_form: 0.336 eV per atom
- Space-group type: No. 123

First-principles (PBEsol) data for an optimized crystal structure of Ba3GdIrRuO9, as listed in the Alexandria database.

a b c (Å): 5.878 5.878 14.558
angles (deg): 90.00 90.00 120.00
Positions (direct):
Ba 0.000 0.000 0.000
Ba 0.000 0.000 0.500
Ba 0.333 0.667 0.153
Ba 0.333 0.667 0.843
Ba 0.667 0.333 0.343
Ba 0.667 0.333 0.653
Gd 0.000 0.000 0.250
Gd 0.000 0.000 0.750
Ir 0.333 0.667 0.584
Ir 0.667 0.333 0.084
Ru 0.333 0.667 0.414
Ru 0.667 0.333 0.914
O 0.018 0.509 0.498
O 0.177 0.354 0.663
O 0.177 0.823 0.663
O 0.178 0.355 0.340
O 0.178 0.822 0.340
O 0.354 0.177 0.163
O 0.355 0.178 0.840
O 0.491 0.509 0.498
O 0.491 0.982 0.498
O 0.509 0.018 0.998
O 0.509 0.491 0.998
O 0.645 0.822 0.340
O 0.646 0.823 0.663
O 0.822 0.178 0.840
O 0.822 0.645 0.840
O 0.823 0.177 0.163
O 0.823 0.646 0.163
O 0.982 0.491 0.998

Properties
- Space-group type: No. 186
- Formation energy from raw total energies: -2.200 eV per atom

First-principles (PBEsol) data for an optimized crystal structure of BiSF2, as listed in the Alexandria database.

a b c (Å): 4.339 4.339 4.339
angles (deg): 60.00 60.00 60.00
Positions (direct):
Bi 0.000 0.000 0.000
S 0.500 0.500 0.500
F 0.250 0.250 0.250
F 0.750 0.750 0.750

Properties
- Space-group type: No. 225
- Formation energy from raw total energies: -0.982 eV per atom

First-principles (PBEsol) data for an optimized crystal structure of Cu2IrPt, as listed in the Alexandria database.

a b c (Å): 4.182 4.182 4.182
angles (deg): 60.00 60.00 60.00
Positions (direct):
Cu 0.250 0.250 0.250
Cu 0.750 0.750 0.750
Ir 0.000 0.000 0.000
Pt 0.500 0.500 0.500

Properties
- E_form: 0.160 eV per atom
- Space-group type: No. 225

First-principles (PBEsol) data for an optimized crystal structure of CoAgHg2, as listed in the Alexandria database.

a b c (Å): 2.971 2.971 7.500
angles (deg): 90.00 90.00 90.00
Positions (direct):
Co 0.000 0.000 0.000
Ag 0.000 0.000 0.500
Hg 0.500 0.500 0.224
Hg 0.500 0.500 0.776

Properties
- E_form: 0.253 eV per atom
- Space-group type: No. 123

First-principles (PBEsol) data for an optimized crystal structure of CdSi2Ni, as listed in the Alexandria database.

a b c (Å): 4.684 4.684 2.909
angles (deg): 90.00 90.00 111.57
Positions (direct):
Cd 0.000 0.000 0.000
Si 0.000 0.500 0.500
Si 0.500 0.000 0.500
Ni 0.500 0.500 0.000

Properties
- Space-group type: No. 65
- Formation energy from raw total energies: 0.316 eV per atom

First-principles (PBEsol) data for an optimized crystal structure of In2OsW, as listed in the Alexandria database.

a b c (Å): 5.270 5.270 4.852
angles (deg): 105.66 105.66 32.98
Positions (direct):
In 0.000 0.000 0.000
In 0.218 0.218 0.677
Os 0.754 0.754 0.202
W 0.461 0.461 0.474

Properties
- E_form: 0.520 eV per atom
- Space-group type: No. 8

First-principles (PBEsol) data for an optimized crystal structure of MgIn2, as listed in the Alexandria database.

a b c (Å): 5.150 5.150 5.150
angles (deg): 142.62 115.16 77.30
Positions (direct):
Mg 0.000 0.000 0.000
In 0.314 0.814 0.500
In 0.686 0.186 0.500

Properties
- E_form: -0.025 eV per atom
- Space-group type: No. 71

First-principles (PBEsol) data for an optimized crystal structure of Co2W, as listed in the Alexandria database.

a b c (Å): 4.614 4.614 15.072
angles (deg): 90.00 90.00 120.00
Positions (direct):
Co 0.000 0.500 0.000
Co 0.000 0.500 0.500
Co 0.164 0.328 0.250
Co 0.164 0.836 0.250
Co 0.328 0.164 0.750
Co 0.333 0.667 0.127
Co 0.333 0.667 0.373
Co 0.500 0.000 0.000
Co 0.500 0.000 0.500
Co 0.500 0.500 0.000
Co 0.500 0.500 0.500
Co 0.667 0.333 0.627
Co 0.667 0.333 0.873
Co 0.672 0.836 0.250
Co 0.836 0.164 0.750
Co 0.836 0.672 0.750
W 0.000 0.000 0.090
W 0.000 0.000 0.410
W 0.000 0.000 0.590
W 0.000 0.000 0.910
W 0.333 0.667 0.656
W 0.333 0.667 0.844
W 0.667 0.333 0.156
W 0.667 0.333 0.344

Properties
- E_form: -0.040 eV per atom
- Space-group type: No. 194